Material: La2SiRu
Method: DFT, PBE-GGA
State: relaxed

E_form (uncorrected)	-283	meV per atom
theoretical density	7.17	g/cm³
space group	P4mm (99)

Cell and atoms, written as CIF:
```
data_La2SiRu
_space_group_name_H-M_alt 'P 1'
_space_group_IT_number 1
_space_group_name_Hall 'P 1'
_cell_length_a 3.232
_cell_length_b 3.232
_cell_length_c 9.017
_cell_angle_alpha 90.00
_cell_angle_beta 90.00
_cell_angle_gamma 90.00
loop_
_atom_site_label
_atom_site_fract_x
_atom_site_fract_y
_atom_site_fract_z
La1 0.000 0.000 0.930
La2 0.500 0.500 0.323
Si1 0.500 0.500 0.682
Ru1 0.000 0.000 0.566
```

=====

Material: CeGdTc
Method: DFT, PBE-GGA
State: relaxed

theoretical density	9.67	g/cm³
distance to the lowest polymorph of the same formula	93	meV per atom
space group	P3m1 (156)

Cell and atoms, written as CIF:
```
data_CeGdTc
_space_group_name_H-M_alt 'P 1'
_space_group_IT_number 1
_space_group_name_Hall 'P 1'
_cell_length_a 3.524
_cell_length_b 4.716
_cell_length_c 4.716
_cell_angle_alpha 120.00
_cell_angle_beta 90.00
_cell_angle_gamma 90.00
loop_
_atom_site_label
_atom_site_fract_x
_atom_site_fract_y
_atom_site_fract_z
Tc1 0.036 0.000 0.000
Gd1 0.692 0.333 0.667
Ce1 0.272 0.667 0.333
```

=====

Material: CePr8Dy2
Method: DFT, PBE-GGA
State: relaxed

total energy	-52.11	eV/cell
theoretical density	6.84	g/cm³
space group	Immm (71)

Cell and atoms, written as CIF:
```
data_CePr8Dy2
_space_group_name_H-M_alt 'P 1'
_space_group_IT_number 1
_space_group_name_Hall 'P 1'
_cell_length_a 5.761
_cell_length_b 8.308
_cell_length_c 9.526
_cell_angle_alpha 115.85
_cell_angle_beta 107.60
_cell_angle_gamma 90.00
loop_
_atom_site_label
_atom_site_fract_x
_atom_site_fract_y
_atom_site_fract_z
Pr1 0.000 0.712 0.000
Pr2 0.635 0.427 0.271
Pr3 0.163 0.163 0.326
Pr4 0.000 0.288 0.000
Pr5 0.365 0.157 0.729
Pr6 0.365 0.573 0.729
Pr7 0.837 0.837 0.674
Pr8 0.635 0.843 0.271
Dy1 0.200 0.700 0.399
Dy2 0.800 0.300 0.601
Ce1 0.500 0.000 0.000
```

=====

Material: CsCu2Bi2O6
Method: DFT, PBE-GGA
State: relaxed

E_form (uncorrected)	-864	meV per atom
theoretical density	6.06	g/cm³
space group	P-1 (2)

Cell and atoms, written as CIF:
```
data_CsCu2Bi2O6
_space_group_name_H-M_alt 'P 1'
_space_group_IT_number 1
_space_group_name_Hall 'P 1'
_cell_length_a 6.416
_cell_length_b 6.859
_cell_length_c 6.942
_cell_angle_alpha 123.07
_cell_angle_beta 90.17
_cell_angle_gamma 61.93
loop_
_atom_site_label
_atom_site_fract_x
_atom_site_fract_y
_atom_site_fract_z
O1 0.001 0.399 0.124
O2 0.601 0.397 0.123
O3 0.399 0.603 0.877
O4 0.943 0.110 0.387
O5 0.057 0.890 0.613
O6 0.999 0.601 0.876
Cu1 0.868 0.267 0.230
Cu2 0.132 0.733 0.770
Cs1 0.500 0.000 0.500
Bi1 0.820 0.360 0.824
Bi2 0.180 0.640 0.176
```

=====

Material: Nd2Sm5Dy12
Method: DFT, PBE-GGA
State: relaxed

theoretical density	7.87	g/cm³
distance to the lowest polymorph of the same formula	78	meV per atom
space group	C2/m (12)

Cell and atoms, written as CIF:
```
data_Nd2Sm5Dy12
_space_group_name_H-M_alt 'P 1'
_space_group_IT_number 1
_space_group_name_Hall 'P 1'
_cell_length_a 9.314
_cell_length_b 12.373
_cell_length_c 8.661
_cell_angle_alpha 132.64
_cell_angle_beta 90.00
_cell_angle_gamma 112.11
loop_
_atom_site_label
_atom_site_fract_x
_atom_site_fract_y
_atom_site_fract_z
Nd1 0.324 0.000 0.000
Nd2 0.676 0.000 0.000
Dy1 0.561 0.741 0.405
Dy2 0.671 0.700 0.942
Dy3 0.439 0.259 0.595
Dy4 0.029 0.700 0.942
Dy5 0.078 0.155 0.280
Dy6 0.971 0.300 0.058
Dy7 0.329 0.300 0.058
Dy8 0.558 0.115 0.779
Dy9 0.922 0.845 0.720
Dy10 0.442 0.885 0.221
Dy11 0.820 0.259 0.595
Dy12 0.180 0.741 0.405
Sm1 0.294 0.589 0.608
Sm2 0.000 0.000 0.500
Sm3 0.770 0.540 0.112
Sm4 0.706 0.411 0.392
Sm5 0.230 0.460 0.888
```

=====

Material: TePPt2
Method: DFT, PBE-GGA
State: relaxed

E_form (uncorrected)	176	meV per atom
theoretical density	12.86	g/cm³
distance to the lowest polymorph of the same formula	481	meV per atom
space group	Fm-3m (225)

Cell and atoms, written as CIF:
```
data_TePPt2
_space_group_name_H-M_alt 'P 1'
_space_group_IT_number 1
_space_group_name_Hall 'P 1'
_cell_length_a 4.644
_cell_length_b 4.644
_cell_length_c 4.644
_cell_angle_alpha 60.00
_cell_angle_beta 60.00
_cell_angle_gamma 60.00
loop_
_atom_site_label
_atom_site_fract_x
_atom_site_fract_y
_atom_site_fract_z
P1 0.000 0.000 0.000
Pt1 0.250 0.250 0.250
Pt2 0.750 0.750 0.750
Te1 0.500 0.500 0.500
```

=====

Material: ReOs
Method: DFT, PBE-GGA
State: relaxed

theoretical density	14.69	g/cm³
distance to the lowest polymorph of the same formula	1237	meV per atom
space group	I4/m (87)

Cell and atoms, written as CIF:
```
data_ReOs
_space_group_name_H-M_alt 'P 1'
_space_group_IT_number 1
_space_group_name_Hall 'P 1'
_cell_length_a 9.581
_cell_length_b 9.581
_cell_length_c 3.710
_cell_angle_alpha 90.00
_cell_angle_beta 90.00
_cell_angle_gamma 90.00
loop_
_atom_site_label
_atom_site_fract_x
_atom_site_fract_y
_atom_site_fract_z
Os1 0.126 0.563 0.000
Os2 0.437 0.126 0.000
Os3 0.626 0.063 0.500
Os4 0.874 0.437 0.000
Os5 0.937 0.626 0.500
Os6 0.374 0.937 0.500
Os7 0.063 0.374 0.500
Os8 0.563 0.874 0.000
Re1 0.332 0.734 0.000
Re2 0.168 0.766 0.500
Re3 0.734 0.668 0.000
Re4 0.266 0.332 0.000
Re5 0.832 0.234 0.500
Re6 0.766 0.832 0.500
Re7 0.234 0.168 0.500
Re8 0.668 0.266 0.000
```

=====

Material: LaSm7Ho2
Method: DFT, PBE-GGA
State: relaxed

theoretical density	6.13	g/cm³
distance to the lowest polymorph of the same formula	633	meV per atom
space group	Cmmm (65)

Cell and atoms, written as CIF:
```
data_LaSm7Ho2
_space_group_name_H-M_alt 'P 1'
_space_group_IT_number 1
_space_group_name_Hall 'P 1'
_cell_length_a 5.749
_cell_length_b 9.206
_cell_length_c 9.206
_cell_angle_alpha 122.19
_cell_angle_beta 90.00
_cell_angle_gamma 90.00
loop_
_atom_site_label
_atom_site_fract_x
_atom_site_fract_y
_atom_site_fract_z
Sm1 0.500 0.296 0.061
Sm2 0.500 0.704 0.939
Sm3 0.500 0.939 0.704
Sm4 0.500 0.061 0.296
Sm5 0.000 0.773 0.227
Sm6 0.500 0.500 0.500
Sm7 0.000 0.227 0.773
Ho1 0.500 0.297 0.703
Ho2 0.500 0.703 0.297
La1 0.000 0.000 0.000
```

=====

Material: NdThInCu
Method: DFT, PBE-GGA
State: relaxed

total energy	-19.59	eV/cell
theoretical density	8.67	g/cm³
space group	F-43m (216)

Cell and atoms, written as CIF:
```
data_NdThInCu
_space_group_name_H-M_alt 'P 1'
_space_group_IT_number 1
_space_group_name_Hall 'P 1'
_cell_length_a 5.316
_cell_length_b 5.316
_cell_length_c 5.316
_cell_angle_alpha 60.00
_cell_angle_beta 60.00
_cell_angle_gamma 60.00
loop_
_atom_site_label
_atom_site_fract_x
_atom_site_fract_y
_atom_site_fract_z
In1 0.750 0.750 0.750
Th1 0.000 0.000 0.000
Cu1 0.250 0.250 0.250
Nd1 0.500 0.500 0.500
```

=====

Material: TbInPb
Method: DFT, PBE-GGA
State: relaxed

theoretical density	9.41	g/cm³
distance to the lowest polymorph of the same formula	102	meV per atom
space group	P2_1/m (11)

Cell and atoms, written as CIF:
```
data_TbInPb
_space_group_name_H-M_alt 'P 1'
_space_group_IT_number 1
_space_group_name_Hall 'P 1'
_cell_length_a 5.702
_cell_length_b 4.675
_cell_length_c 6.999
_cell_angle_alpha 90.00
_cell_angle_beta 90.02
_cell_angle_gamma 114.60
loop_
_atom_site_label
_atom_site_fract_x
_atom_site_fract_y
_atom_site_fract_z
Tb1 0.000 0.500 0.500
Tb2 0.000 0.500 0.000
Pb1 0.323 0.160 0.250
Pb2 0.677 0.840 0.750
In1 0.308 0.153 0.750
In2 0.692 0.847 0.250
```

=====

Material: PmGdZn
Method: DFT, PBE-GGA
State: relaxed

theoretical density	7.49	g/cm³
distance to the lowest polymorph of the same formula	161	meV per atom
space group	P3m1 (156)

Cell and atoms, written as CIF:
```
data_PmGdZn
_space_group_name_H-M_alt 'P 1'
_space_group_IT_number 1
_space_group_name_Hall 'P 1'
_cell_length_a 3.716
_cell_length_b 5.033
_cell_length_c 5.033
_cell_angle_alpha 120.00
_cell_angle_beta 90.00
_cell_angle_gamma 90.00
loop_
_atom_site_label
_atom_site_fract_x
_atom_site_fract_y
_atom_site_fract_z
Gd1 0.605 0.667 0.333
Zn1 0.346 0.333 0.667
Pm1 0.049 0.000 0.000
```

=====

Material: TlReHg2
Method: DFT, PBE-GGA
State: relaxed

theoretical density	15.85	g/cm³
distance to the lowest polymorph of the same formula	349	meV per atom
space group	I4/mmm (139)

Cell and atoms, written as CIF:
```
data_TlReHg2
_space_group_name_H-M_alt 'P 1'
_space_group_IT_number 1
_space_group_name_Hall 'P 1'
_cell_length_a 5.693
_cell_length_b 5.693
_cell_length_c 5.693
_cell_angle_alpha 137.59
_cell_angle_beta 137.59
_cell_angle_gamma 61.53
loop_
_atom_site_label
_atom_site_fract_x
_atom_site_fract_y
_atom_site_fract_z
Hg1 0.000 0.000 0.000
Hg2 0.500 0.500 0.000
Tl1 0.750 0.250 0.500
Re1 0.250 0.750 0.500
```

=====

Please write out number 7 again, unchanged.
Material: ReOs
Method: DFT, PBE-GGA
State: relaxed

theoretical density	14.69	g/cm³
distance to the lowest polymorph of the same formula	1237	meV per atom
space group	I4/m (87)

Cell and atoms, written as CIF:
```
data_ReOs
_space_group_name_H-M_alt 'P 1'
_space_group_IT_number 1
_space_group_name_Hall 'P 1'
_cell_length_a 9.581
_cell_length_b 9.581
_cell_length_c 3.710
_cell_angle_alpha 90.00
_cell_angle_beta 90.00
_cell_angle_gamma 90.00
loop_
_atom_site_label
_atom_site_fract_x
_atom_site_fract_y
_atom_site_fract_z
Os1 0.126 0.563 0.000
Os2 0.437 0.126 0.000
Os3 0.626 0.063 0.500
Os4 0.874 0.437 0.000
Os5 0.937 0.626 0.500
Os6 0.374 0.937 0.500
Os7 0.063 0.374 0.500
Os8 0.563 0.874 0.000
Re1 0.332 0.734 0.000
Re2 0.168 0.766 0.500
Re3 0.734 0.668 0.000
Re4 0.266 0.332 0.000
Re5 0.832 0.234 0.500
Re6 0.766 0.832 0.500
Re7 0.234 0.168 0.500
Re8 0.668 0.266 0.000
```

=====

Which value of theoretical density does entry 10 give? 9.41 g/cm³

=====

Please write out number 3 again, unchanged.
Material: CePr8Dy2
Method: DFT, PBE-GGA
State: relaxed

total energy	-52.11	eV/cell
theoretical density	6.84	g/cm³
space group	Immm (71)

Cell and atoms, written as CIF:
```
data_CePr8Dy2
_space_group_name_H-M_alt 'P 1'
_space_group_IT_number 1
_space_group_name_Hall 'P 1'
_cell_length_a 5.761
_cell_length_b 8.308
_cell_length_c 9.526
_cell_angle_alpha 115.85
_cell_angle_beta 107.60
_cell_angle_gamma 90.00
loop_
_atom_site_label
_atom_site_fract_x
_atom_site_fract_y
_atom_site_fract_z
Pr1 0.000 0.712 0.000
Pr2 0.635 0.427 0.271
Pr3 0.163 0.163 0.326
Pr4 0.000 0.288 0.000
Pr5 0.365 0.157 0.729
Pr6 0.365 0.573 0.729
Pr7 0.837 0.837 0.674
Pr8 0.635 0.843 0.271
Dy1 0.200 0.700 0.399
Dy2 0.800 0.300 0.601
Ce1 0.500 0.000 0.000
```

=====

Which formula does entry 4 have? CsCu2Bi2O6